Record 1
A plane-wave DFT calculation with PBE-GGA was carried out for a relaxed YHo2ErS6 crystal.

Lattice parameters (Å, degrees): 7.323 7.323 7.323 56.02 56.02 56.02
Sites, in units of the cell vectors:
Y (0.000, 0.000, 0.000)
Ho (0.299, 0.299, 0.299)
Ho (0.799, 0.799, 0.799)
Er (0.499, 0.499, 0.499)
S (0.098, 0.698, 0.402)
S (0.202, 0.597, 0.898)
S (0.402, 0.098, 0.698)
S (0.597, 0.898, 0.202)
S (0.698, 0.402, 0.098)
S (0.898, 0.202, 0.597)

E_tot: -65.58 eV for the cell shown
space group: R3



Record 2
A plane-wave DFT calculation with PBE-GGA was carried out for a relaxed YHo2Er3S6 crystal.

Lattice parameters (Å, degrees): 8.667 8.667 7.788 103.16 103.16 25.81
Sites, in units of the cell vectors:
Y (0.000, 0.000, 0.000)
Ho (0.333, 0.333, 0.667)
Ho (0.667, 0.667, 0.333)
Er (0.000, 0.000, 0.500)
Er (0.334, 0.334, 0.167)
Er (0.666, 0.666, 0.833)
S (0.166, 0.166, 0.584)
S (0.168, 0.168, 0.083)
S (0.500, 0.500, 0.253)
S (0.500, 0.500, 0.747)
S (0.832, 0.832, 0.917)
S (0.834, 0.834, 0.416)

E_tot: -77.69 eV for the cell shown
space group: C2/m



Record 3
A plane-wave DFT calculation with PBE-GGA was carried out for a relaxed YHoEr2S6 crystal.

Lattice parameters (Å, degrees): 7.315 7.315 7.315 56.01 56.01 56.01
Sites, in units of the cell vectors:
Y (0.000, 0.000, 0.000)
Ho (0.499, 0.499, 0.499)
Er (0.299, 0.299, 0.299)
Er (0.800, 0.800, 0.800)
S (0.096, 0.697, 0.404)
S (0.199, 0.595, 0.901)
S (0.404, 0.096, 0.697)
S (0.595, 0.901, 0.199)
S (0.697, 0.404, 0.096)
S (0.901, 0.199, 0.595)

E_tot: -65.57 eV for the cell shown
space group: R3



Record 4
A plane-wave DFT calculation with PBE-GGA was carried out for a relaxed Y3HoEr3S8 crystal.

Lattice parameters (Å, degrees): 7.773 7.773 7.773 59.88 59.88 59.88
Sites, in units of the cell vectors:
Y (0.000, 0.500, 0.500)
Y (0.500, 0.000, 0.500)
Y (0.500, 0.500, 0.000)
Ho (0.500, 0.500, 0.500)
Er (0.000, 0.000, 0.500)
Er (0.000, 0.500, 0.000)
Er (0.500, 0.000, 0.000)
S (0.246, 0.751, 0.751)
S (0.248, 0.248, 0.248)
S (0.249, 0.249, 0.754)
S (0.249, 0.754, 0.249)
S (0.751, 0.246, 0.751)
S (0.751, 0.751, 0.246)
S (0.752, 0.752, 0.752)
S (0.754, 0.249, 0.249)

E_tot: -101.31 eV for the cell shown
space group: R-3m



Energy relative to the elements, uncorrected list, top to bottom, in meV/atom: -2064; -1968; -2064; -2042
N(E_F) list, top to bottom, in states/eV per cell: 0.0; 5.2; 0.0; 6.3
Total magnetic moment list, top to bottom, in μB per formula unit: 0.0; 0.0; 0.0; 0.0